# NaNdSb (PBE, optimized geometry)
data_NaNdSb
_cell_length_a 15.629
_cell_length_b 5.267
_cell_length_c 5.270
_cell_angle_alpha 90.00
_cell_angle_beta 90.00
_cell_angle_gamma 90.00
_symmetry_space_group_name_H-M 'P n m a'
_symmetry_Int_Tables_number 62
loop_
_symmetry_equiv_pos_as_xyz
'x,y,z'
'-x,-y,-z'
'-x+1/2,-y,z+1/2'
'x+1/2,y,-z+1/2'
'x+1/2,-y+1/2,-z+1/2'
'-x+1/2,y+1/2,z+1/2'
'-x,y+1/2,-z'
'x,-y+1/2,z'
loop_
_atom_site_label
_atom_site_type_symbol
_atom_site_fract_x
_atom_site_fract_y
_atom_site_fract_z
Na1 Na 0.066 0.250 0.248
Nd1 Nd 0.250 0.250 0.746
Sb1 Sb 0.136 0.750 0.746
# D(E_F) = 0.72 states/eV/atom
# VASP energy = -0.291 Ry/atom